# Cs4AcBi3O12, relaxed, DFT PBE
data_Cs4AcBi3O12
_symmetry_space_group_name_H-M 'I m -3 m'
_symmetry_Int_Tables_number 229
_symmetry_space_group_name_Hall '-I 4 2 3'
_cell_length_a 9.022
_cell_length_b 9.022
_cell_length_c 9.022
_cell_angle_alpha 90.00
_cell_angle_beta 90.00
_cell_angle_gamma 90.00
loop_
_atom_site_label
_atom_site_type_symbol
_atom_site_fract_x
_atom_site_fract_y
_atom_site_fract_z
_atom_site_occupancy
Cs1 Cs 0.250 0.250 0.250 1
Ac1 Ac 0.000 0.000 0.000 1
Bi1 Bi 0.000 0.000 0.500 1
O1 O 0.000 0.000 0.271 1
O2 O 0.000 0.250 0.500 1
# Formation energy from raw total energies: -1.234 eV per atom
# Volume: 734.5 Å³ per cell